No. 1
First-principles (PBE) data for a relaxed structure of Pm6In5Cu, as listed in Alexandria via LeMat-Bulk.

As for the energy of formation: -0.42 eV/atom. The value obtained for the total moment is 0.0000 μB/atom. As for the total energy: -4.273 eV/atom.

a b c (Å): 8.538 8.538 7.649
angles (deg): 90.00 90.00 143.08
Atoms (fractional coordinates):
Pm1 0.000 0.000 0.239
Pm2 0.000 0.000 0.761
Pm3 0.339 0.661 0.243
Pm4 0.339 0.661 0.757
Pm5 0.661 0.339 0.243
Pm6 0.661 0.339 0.757
In1 0.167 0.833 0.000
In2 0.169 0.831 0.500
In3 0.500 0.500 0.500
In4 0.831 0.169 0.500
In5 0.833 0.167 0.000
Cu1 0.500 0.500 0.000

No. 2
First-principles (PBE) data for a relaxed structure of Pm4In2Cu, as listed in Alexandria via LeMat-Bulk.

As for the energy of formation: -0.08 eV/atom. The value obtained for the total moment is 0.0000 μB/atom. As for the total energy: -4.163 eV/atom.

a b c (Å): 8.867 8.867 8.867
angles (deg): 145.30 145.30 49.89
Atoms (fractional coordinates):
Pm1 0.000 0.500 0.500
Pm2 0.182 0.182 0.000
Pm3 0.500 0.000 0.500
Pm4 0.818 0.818 0.000
In1 0.376 0.376 0.000
In2 0.624 0.624 0.000
Cu1 0.000 0.000 0.000

No. 3
First-principles (PBE) data for a relaxed structure of PmPrInCu, as listed in Alexandria via LeMat-Bulk.

As for the energy of formation: -0.26 eV/atom. The value obtained for the total moment is 0.0024 μB/atom. As for the total energy: -4.350 eV/atom.

a b c (Å): 5.333 5.333 5.333
angles (deg): 60.00 60.00 60.00
Atoms (fractional coordinates):
Pm1 0.000 0.000 0.000
Pr1 0.500 0.500 0.500
In1 0.250 0.250 0.250
Cu1 0.750 0.750 0.750

No. 4
First-principles (PBE) data for a relaxed structure of Pm2InCu2Pt5, as listed in Alexandria via LeMat-Bulk.

As for the energy of formation: -0.78 eV/atom. The value obtained for the total moment is 0.0000 μB/atom. As for the total energy: -5.846 eV/atom.

a b c (Å): 9.580 9.580 3.939
angles (deg): 90.00 90.00 90.00
Atoms (fractional coordinates):
Pm1 0.176 0.324 0.000
Pm2 0.324 0.824 0.000
Pm3 0.676 0.176 0.000
Pm4 0.824 0.676 0.000
In1 0.000 0.000 0.000
In2 0.500 0.500 0.000
Cu1 0.121 0.621 0.000
Cu2 0.379 0.121 0.000
Cu3 0.621 0.879 0.000
Cu4 0.879 0.379 0.000
Pt1 0.000 0.500 0.500
Pt2 0.067 0.790 0.500
Pt3 0.210 0.067 0.500
Pt4 0.290 0.567 0.500
Pt5 0.433 0.290 0.500
Pt6 0.500 0.000 0.500
Pt7 0.567 0.710 0.500
Pt8 0.710 0.433 0.500
Pt9 0.790 0.933 0.500
Pt10 0.933 0.210 0.500

No. 5
First-principles (PBE) data for a relaxed structure of PmInCuPt, as listed in Alexandria via LeMat-Bulk.

As for the energy of formation: -0.57 eV/atom. The value obtained for the total moment is 0.0000 μB/atom. As for the total energy: -4.981 eV/atom.

a b c (Å): 4.857 4.857 4.857
angles (deg): 60.00 60.00 60.00
Atoms (fractional coordinates):
Pm1 0.000 0.000 0.000
In1 0.500 0.500 0.500
Cu1 0.250 0.250 0.250
Pt1 0.750 0.750 0.750

No. 6
First-principles (PBE) data for a relaxed structure of PmPuInCu, as listed in Alexandria via LeMat-Bulk.

As for the energy of formation: -0.06 eV/atom. The value obtained for the total moment is 1.5063 μB/atom. As for the total energy: -6.541 eV/atom.

a b c (Å): 5.243 5.243 5.243
angles (deg): 60.00 60.00 60.00
Atoms (fractional coordinates):
Pm1 0.000 0.000 0.000
Pu1 0.500 0.500 0.500
In1 0.250 0.250 0.250
Cu1 0.750 0.750 0.750